{"formula": "Li3Ir", "functional": "meta-GGA SCAN", "state": "PBEsol geometry", "lattice": [[4.706, 0.000, 0.000], [0.000, 4.706, 0.000], [0.000, 0.000, 4.706]], "species": ["Ir", "Ir", "Li", "Li", "Li", "Li", "Li", "Li"], "fractional_positions": [[0.000, 0.000, 0.000], [0.500, 0.500, 0.500], [0.750, 0.500, 0.000], [0.250, 0.500, 0.000], [0.000, 0.750, 0.500], [0.000, 0.250, 0.500], [0.500, 0.000, 0.250], [0.500, 0.000, 0.750]], "dos_ef_per_ev_atom": 0.444, "formation_enthalpy_0k_mev_per_atom": 57, "m_tot_mub_per_cell": 0.00, "crystal_system": "cubic", "sg": "Pm-3n, No. 223"}